First-principles (SCAN) data for a crystal of ZnPtRh relaxed with PBEsol, as listed in Alexandria via LeMat-Bulk.

```
3
Lattice="-2.1073 -1.5083 -0.8790 -0.1856 -1.1766 2.4637 -2.3634 5.2991 0.8329" Properties=species:S:1:pos:R:3 pbc="T T T"
Pt -4.6389 2.5946 2.4095
Rh -2.3490 0.0132 1.3492
Zn -2.3248 2.6207 1.0765
```

Values from the calculation:
Calculated density in Mg/m³: 14.56
Space group: I4mm (107)
Crystal system: tetragonal
Energy of formation in eV per atom: -0.296

***

First-principles (SCAN) data for a crystal of Zn2PtRh relaxed with PBEsol, as listed in Alexandria via LeMat-Bulk.

```
4
Lattice="2.7010 -0.0027 0.0000 -1.3060 2.3642 0.0000 0.0000 0.0000 8.8364" Properties=species:S:1:pos:R:3 pbc="T T T"
Pt 0.0000 0.0000 4.4631
Rh 0.6975 1.1808 2.1215
Zn 0.0000 0.0000 0.0234
Zn 0.6975 1.1808 6.6466
```

Values from the calculation:
Calculated density in Mg/m³: 12.63
Space group: Cmm2 (35)
Crystal system: orthorhombic
Energy of formation in eV per atom: -0.111

***

First-principles (SCAN) data for a crystal of Zn2PtRh relaxed with PBEsol, as listed in Alexandria via LeMat-Bulk.

```
4
Lattice="3.0011 0.0000 0.0000 0.0000 3.0011 0.0000 0.0000 0.0000 5.9742" Properties=species:S:1:pos:R:3 pbc="T T T"
Zn 0.0000 0.0000 4.4280
Zn 0.0000 0.0000 1.5462
Rh 1.5006 1.5006 2.9871
Pt 1.5006 1.5006 0.0000
```

Values from the calculation:
Calculated density in Mg/m³: 13.23
Space group: P4/mmm (123)
Crystal system: tetragonal
Energy of formation in eV per atom: -0.528

***

First-principles (SCAN) data for a crystal of ZnPtRh relaxed with PBEsol, as listed in Alexandria via LeMat-Bulk.

```
3
Lattice="4.0472 0.0000 0.0000 2.0236 3.5050 0.0000 2.0236 1.1683 3.3045" Properties=species:S:1:pos:R:3 pbc="T T T"
Pt 0.0000 0.0000 0.0000
Rh 4.0472 2.3367 1.6523
Zn 2.0236 1.1683 0.8261
```

Values from the calculation:
Calculated density in Mg/m³: 12.87
Space group: F-43m (216)
Crystal system: cubic
Energy of formation in eV per atom: 0.051

***

First-principles (SCAN) data for a crystal of ZrPtRh2 relaxed with PBEsol, as listed in Alexandria via LeMat-Bulk.

```
4
Lattice="3.3397 0.0000 0.0000 0.0000 3.3397 0.0000 0.0000 0.0000 5.6172" Properties=species:S:1:pos:R:3 pbc="T T T"
Pt 1.6699 1.6699 2.8086
Rh 0.0000 0.0000 4.1432
Rh 0.0000 0.0000 1.4741
Zr 1.6699 1.6699 0.0000
```

Values from the calculation:
Calculated density in Mg/m³: 13.04
Space group: P4/mmm (123)
Crystal system: tetragonal
Energy of formation in eV per atom: -0.585

***

First-principles (SCAN) data for a crystal of Zr2PtRh relaxed with PBEsol, as listed in Alexandria via LeMat-Bulk.

```
4
Lattice="-1.4868 -2.1989 1.6071 -2.2154 -1.4042 -3.9708 4.7090 -1.7417 -1.0222" Properties=species:S:1:pos:R:3 pbc="T T T"
Pt 2.7373 -3.5688 -2.3505
Rh 0.8257 -2.8660 -0.1617
Zr -0.0362 -0.1348 -0.2179
Zr 0.3377 -2.3185 -2.8598
```

Values from the calculation:
Calculated density in Mg/m³: 11.22
Space group: Cm (8)
Crystal system: monoclinic
Energy of formation in eV per atom: -0.902

***

First-principles (SCAN) data for a crystal of ZrPtRh2 relaxed with PBEsol, as listed in Alexandria via LeMat-Bulk.

```
4
Lattice="-3.4700 -0.0114 -1.8320 1.8185 -0.4973 -3.4414 0.6010 -3.6854 3.0872" Properties=species:S:1:pos:R:3 pbc="T T T"
Pt 0.7968 -2.2185 -1.4955
Rh 0.0000 0.0000 0.0000
Rh -1.8474 -1.9756 -0.6907
Zr -0.8258 -0.2544 -2.6367
```

Values from the calculation:
Calculated density in Mg/m³: 13.36
Space group: I-4m2 (119)
Crystal system: tetragonal
Energy of formation in eV per atom: -0.827

***

First-principles (SCAN) data for a crystal of Zr2PtRh relaxed with PBEsol, as listed in Alexandria via LeMat-Bulk.

```
4
Lattice="-2.3074 1.1887 -2.1027 -2.7663 -2.9679 1.3578 -0.4883 2.5821 4.6490" Properties=species:S:1:pos:R:3 pbc="T T T"
Rh -3.0498 0.1027 0.7515
Zr -0.3602 0.6967 0.7891
Zr -2.6819 1.0284 3.5244
Pt -2.2686 2.7510 1.3912
```

Values from the calculation:
Calculated density in Mg/m³: 11.01
Space group: Amm2 (38)
Crystal system: orthorhombic
Energy of formation in eV per atom: -1.170